[1]
This record from the Alexandria database describes a relaxed structure of Ba2CdAg. The functional is PBEsol.

Geometry as CIF:
```
data_Ba2CdAg
_chemical_formula_sum 'Ba8 Cd4 Ag4'
_symmetry_space_group_name_H-M 'F -4 3 m'
_symmetry_Int_Tables_number 216
_symmetry_space_group_name_Hall 'F -4 2 3'
_cell_length_a 7.774
_cell_length_b 7.774
_cell_length_c 7.774
_cell_angle_alpha 90.00
_cell_angle_beta 90.00
_cell_angle_gamma 90.00
loop_
_atom_site_label
_atom_site_type_symbol
_atom_site_fract_x
_atom_site_fract_y
_atom_site_fract_z
Ba1 Ba 0.000 0.000 0.000
Ba2 Ba 0.250 0.250 0.250
Cd1 Cd 0.250 0.250 0.750
Ag1 Ag 0.000 0.000 0.500
```

## Properties
* density of states at the Fermi level: 11.144 states/eV per cell
* energy of formation: -0.123 eV per atom
* theoretical density: 7.00 Mg/m³

=====

[2]
This record from the Alexandria database describes a relaxed structure of BaCd2Ag. The functional is PBEsol.

Geometry as CIF:
```
data_BaCd2Ag
_chemical_formula_sum 'Ba3 Cd6 Ag3'
_symmetry_space_group_name_H-M 'R -3 m'
_symmetry_Int_Tables_number 166
_symmetry_space_group_name_Hall '-R 3 2"'
_cell_length_a 4.8008
_cell_length_b 4.8008
_cell_length_c 17.1548
_cell_angle_alpha 90.00
_cell_angle_beta 90.00
_cell_angle_gamma 120.00
loop_
_atom_site_label
_atom_site_type_symbol
_atom_site_fract_x
_atom_site_fract_y
_atom_site_fract_z
Ba1 Ba 0.0000 0.0000 0.0000
Cd1 Cd 0.0000 0.0000 0.2020
Ag1 Ag 0.0000 0.0000 0.5000
```

## Properties
* density of states at the Fermi level: 8.098 states/eV per cell
* energy of formation: -0.204 eV per atom
* theoretical density: 6.84 Mg/m³

=====

Which value of energy of formation does entry 1 give? -0.123 eV per atom